# 1
A plane-wave DFT calculation with PBE-GGA was carried out for crystalline LaAsPt2 at its relaxed geometry.

Formation energy from the elements   -551 meV/atom
Magnetic moment   0.000 μB/atom
Symmetry   F-43m (216)
E_tot   -5.966 eV per atom

The structure in POSCAR format:
```
LaAsPt2
1.0
4.8608 0.0000 0.0000
2.4304 4.2096 0.0000
2.4304 1.4032 3.9688
As Pt La
1 2 1
direct
0.5000 0.5000 0.5000 As
0.2500 0.2500 0.2500 Pt
0.0000 0.0000 0.0000 Pt
0.7500 0.7500 0.7500 La
```


# 2
A plane-wave DFT calculation with PBE-GGA was carried out for crystalline LaAs2Pt at its relaxed geometry.

Formation energy from the elements   -799 meV/atom
Magnetic moment   0.000 μB/atom
Symmetry   Cm (8)
E_tot   -5.866 eV per atom

The structure in POSCAR format:
```
LaAs2Pt
1.0
5.2930 0.0007 -0.0325
3.6706 3.8134 -0.0325
1.5690 0.6677 4.5615
La Pt As
1 1 2
direct
0.5087 0.5087 0.4949 La
0.2922 0.2922 0.1068 Pt
0.7299 0.7299 0.8676 As
0.9691 0.9691 0.0307 As
```


# 3
A plane-wave DFT calculation with PBE-GGA was carried out for crystalline LaAs2Pt at its relaxed geometry.

Formation energy from the elements   -617 meV/atom
Magnetic moment   0.000 μB/atom
Symmetry   Cmmm (65)
E_tot   -5.683 eV per atom

The structure in POSCAR format:
```
LaAs2Pt
1.0
3.7875 0.0043 0.0000
-1.5097 3.4736 0.0000
0.0000 0.0000 6.9563
Pt La As
1 1 2
direct
0.5000 0.5000 0.7500 Pt
0.5000 0.5000 0.2500 La
0.0000 0.0000 0.9554 As
0.0000 0.0000 0.5446 As
```


# 4
A plane-wave DFT calculation with PBE-GGA was carried out for crystalline LaAsPt3 at its relaxed geometry.

Formation energy from the elements   1089 meV/atom
Magnetic moment   0.000 μB/atom
Symmetry   Pm-3m (221)
E_tot   -4.451 eV per atom
Relative energy among the computed polymorphs   1985 meV/atom

The structure in POSCAR format:
```
LaAsPt3
1.0
-0.3925 1.0239 -5.0808
-1.8880 -4.7735 -0.8161
-4.8269 1.7839 0.7324
La Pt As
1 3 1
direct
0.0000 0.0000 0.0000 La
0.0000 0.5000 0.0000 Pt
0.0000 0.0000 0.5000 Pt
0.5000 0.0000 0.0000 Pt
0.5000 0.5000 0.5000 As
```


# 5
A plane-wave DFT calculation with PBE-GGA was carried out for crystalline LaAsPt2 at its relaxed geometry.

Formation energy from the elements   -929 meV/atom
Magnetic moment   0.000 μB/atom
Symmetry   Pm (6)
E_tot   -6.344 eV per atom

The structure in POSCAR format:
```
LaAsPt2
1.0
4.5318 0.0000 0.0000
0.0000 4.2144 -0.0006
0.0000 0.2836 4.7935
La Pt As
1 2 1
direct
0.5000 0.7423 0.7864 La
0.5000 0.2297 0.2859 Pt
0.0000 0.1766 0.9609 Pt
0.0000 0.3514 0.4668 As
```


# 6
A plane-wave DFT calculation with PBE-GGA was carried out for crystalline LaAsPt2 at its relaxed geometry.

Formation energy from the elements   -619 meV/atom
Magnetic moment   0.000 μB/atom
Symmetry   I-4m2 (119)
E_tot   -6.033 eV per atom

The structure in POSCAR format:
```
LaAsPt2
1.0
-4.7451 -1.1265 2.2274
-2.7560 -3.4784 -3.0085
5.0108 -0.0078 1.9071
La As Pt
1 1 2
direct
0.7500 0.2500 0.5000 La
0.5000 0.5000 0.0000 As
0.0000 0.0000 0.0000 Pt
0.2500 0.7500 0.5000 Pt
```


# 7
A plane-wave DFT calculation with PBE-GGA was carried out for crystalline LaAs2Pt at its relaxed geometry.

Formation energy from the elements   -918 meV/atom
Magnetic moment   0.000 μB/atom
Symmetry   P2/m (10)
E_tot   -5.984 eV per atom

The structure in POSCAR format:
```
LaAs2Pt
1.0
-1.0762 0.4122 3.9800
-1.2326 -4.2492 0.1068
4.4390 -2.1312 1.4210
As La Pt
2 1 1
direct
0.0000 0.6229 0.4992 As
0.0000 0.8771 0.0008 As
0.5000 0.2500 0.2500 La
0.5000 0.7500 0.7500 Pt
```


# 8
A plane-wave DFT calculation with PBE-GGA was carried out for crystalline LaAsPt3 at its relaxed geometry.

Formation energy from the elements   -553 meV/atom
Magnetic moment   0.000 μB/atom
Symmetry   Pm-3m (221)
E_tot   -6.093 eV per atom
Relative energy among the computed polymorphs   343 meV/atom

The structure in POSCAR format:
```
LaAsPt3
1.0
4.7867 0.0000 0.0000
0.0000 4.7867 0.0000
0.0000 0.0000 4.7867
Pt As La
3 1 1
direct
0.0000 0.5000 0.0000 Pt
0.5000 0.0000 0.0000 Pt
0.0000 0.0000 0.5000 Pt
0.0000 0.0000 0.0000 As
0.5000 0.5000 0.5000 La
```